No. 1
Computed, not measured: crystalline ScTlAu at its relaxed geometry at the PBE-GGA level of DFT.

Electronic total energy (Ry/atom): -0.3081
Total magnetization (μB per formula unit): 0.000
ΔH_f (0 K) (meV/atom): -201
Crystal system: tetragonal

Structure (CIF):
```
data_ScTlAu
_chemical_formula_sum 'Sc2 Tl2 Au2'
_space_group_name_H-M_alt 'P 4/n m m'
_space_group_IT_number 129
_cell_length_a 4.926
_cell_length_b 4.926
_cell_length_c 6.279
_cell_angle_alpha 90.00
_cell_angle_beta 90.00
_cell_angle_gamma 90.00
loop_
_space_group_symop_operation_xyz
'x,y,z'
'-x,-y,-z'
'-y+1/2,x,z'
'y+1/2,-x,-z'
'-x+1/2,-y+1/2,z'
'x+1/2,y+1/2,-z'
'y,-x+1/2,z'
'-y,x+1/2,-z'
'x+1/2,-y,-z'
'-x+1/2,y,z'
'-y,-x,-z'
'y,x,z'
'-x,y+1/2,-z'
'x,-y+1/2,z'
'y+1/2,x+1/2,-z'
'-y+1/2,-x+1/2,z'
loop_
_atom_site_label
_atom_site_type_symbol
_atom_site_fract_x
_atom_site_fract_y
_atom_site_fract_z
Sc1 Sc 0.250 0.250 0.201
Tl1 Tl 0.250 0.750 0.500
Au1 Au 0.250 0.750 0.000
```



No. 2
Computed, not measured: crystalline CaTe2Se at its relaxed geometry at the PBE-GGA level of DFT.

Electronic total energy (Ry/atom): -0.2336
Total magnetization (μB per formula unit): 0.000
Uncorrected formation energy (meV per atom): -236
Crystal system: tetragonal

Structure (CIF):
```
data_CaTe2Se
_chemical_formula_sum 'Ca1 Te2 Se1'
_space_group_name_H-M_alt 'P 4/m m m'
_space_group_IT_number 123
_space_group_name_Hall '-P 4 2'
_cell_length_a 3.258
_cell_length_b 3.258
_cell_length_c 11.575
_cell_angle_alpha 90.00
_cell_angle_beta 90.00
_cell_angle_gamma 90.00
loop_
_atom_site_label
_atom_site_type_symbol
_atom_site_fract_x
_atom_site_fract_y
_atom_site_fract_z
Ca1 Ca 0.000 0.000 0.000
Te1 Te 0.500 0.500 0.199
Se1 Se 0.000 0.000 0.500
```



> Look up the electronic total energy of the second one.

-0.2336 Ry/atom



> total magnetization of number 1 (ScTlAu)?

0.000 μB per formula unit



> What is the formula in the first record?

ScTlAu